[1]
VASP calculation (GGA-PBEsol) on a geometry-optimized Si structure.

a = 5.4339 Å, b = 5.4339 Å, c = 5.4339 Å
α = 90.00°, β = 90.00°, γ = 90.00°
Space group Fd-3m (No. 227, origin choice 2)
Asymmetric unit:
Si1 0.1250 0.1250 0.1250 (multiplicity 8)

Spin magnetization ... 0.00 μB per formula unit
Energy relative to the lowest polymorph listed for this composition ... 0 meV per atom
Energy ... -5.7 eV/f.u.


[2]
VASP calculation (GGA-PBEsol) on a geometry-optimized Sm5Si3 structure.

a = 8.5644 Å, b = 8.5644 Å, c = 6.4451 Å
α = 90.00°, β = 90.00°, γ = 120.00°
Space group P6_3/mcm (No. 193)
Asymmetric unit:
Sm1 0.0000 0.2461 0.2500 (multiplicity 6)
Sm2 0.3333 0.6667 0.0000 (multiplicity 4)
Si1 0.0000 0.3935 0.7500 (multiplicity 6)

Spin magnetization ... 0.00 μB per formula unit
Energy ... -47.8 eV/f.u.


> Which formula does entry 2 have?

Sm5Si3